First-principles (PBE) data for an optimized crystal structure of TbNdNiPd, as listed in Alexandria via LeMat-Bulk.

Lattice parameters (Å, degrees): 4.980 4.980 4.980 60.00 60.00 60.00
Element x y z (fractional)
1 Tb 0.000 0.000 0.000
2 Nd 0.500 0.500 0.500
3 Ni 0.750 0.750 0.750
4 Pd 0.250 0.250 0.250

## Properties
Its crystal system is cubic. For the polymorph energy (0 for the lowest one), the calculation gives 0.072 eV per atom. As for the formation energy from the elements: -0.52 eV/atom. The density of states at the Fermi level is 1.072 states/eV per atom.

---

First-principles (PBE) data for an optimized crystal structure of NdThNiPd, as listed in Alexandria via LeMat-Bulk.

Lattice parameters (Å, degrees): 5.050 5.050 5.050 60.00 60.00 60.00
Element x y z (fractional)
1 Nd 0.000 0.000 0.000
2 Th 0.500 0.500 0.500
3 Ni 0.250 0.250 0.250
4 Pd 0.750 0.750 0.750

## Properties
Its crystal system is cubic. For the polymorph energy (0 for the lowest one), the calculation gives 0.135 eV per atom. As for the formation energy from the elements: -0.44 eV/atom. The density of states at the Fermi level is 0.966 states/eV per atom.

---

First-principles (PBE) data for an optimized crystal structure of NdThNiPd, as listed in Alexandria via LeMat-Bulk.

Lattice parameters (Å, degrees): 4.328 5.991 5.991 37.14 90.00 90.00
Element x y z (fractional)
1 Nd 0.000 0.000 0.000
2 Th 0.500 0.273 0.273
3 Ni 0.000 0.738 0.738
4 Pd 0.500 0.565 0.565

## Properties
Its crystal system is orthorhombic. For the polymorph energy (0 for the lowest one), the calculation gives 0.000 eV per atom. As for the formation energy from the elements: -0.57 eV/atom. The density of states at the Fermi level is 0.823 states/eV per atom.

---

First-principles (PBE) data for an optimized crystal structure of Nd2Zn5Ni2Pd, as listed in Alexandria via LeMat-Bulk.

Lattice parameters (Å, degrees): 9.313 9.313 4.084 90.00 90.00 90.00
Element x y z (fractional)
1 Nd 0.185 0.315 0.000
2 Nd 0.315 0.815 0.000
3 Nd 0.685 0.185 0.000
4 Nd 0.815 0.685 0.000
5 Zn 0.000 0.500 0.500
6 Zn 0.052 0.798 0.500
7 Zn 0.202 0.052 0.500
8 Zn 0.298 0.552 0.500
9 Zn 0.448 0.298 0.500
10 Zn 0.500 0.000 0.500
11 Zn 0.552 0.702 0.500
12 Zn 0.702 0.448 0.500
13 Zn 0.798 0.948 0.500
14 Zn 0.948 0.202 0.500
15 Ni 0.108 0.608 0.000
16 Ni 0.392 0.108 0.000
17 Ni 0.608 0.892 0.000
18 Ni 0.892 0.392 0.000
19 Pd 0.000 0.000 0.000
20 Pd 0.500 0.500 0.000

## Properties
Its crystal system is tetragonal. As for the formation energy from the elements: -0.32 eV/atom. The density of states at the Fermi level is 0.530 states/eV per atom.

---

First-principles (PBE) data for an optimized crystal structure of PmNd2Ni, as listed in Alexandria via LeMat-Bulk.

Lattice parameters (Å, degrees): 6.534 6.534 7.501 90.00 90.00 135.06
Element x y z (fractional)
1 Pm 0.034 0.966 0.750
2 Pm 0.966 0.034 0.250
3 Nd 0.349 0.651 0.527
4 Nd 0.349 0.651 0.973
5 Nd 0.651 0.349 0.027
6 Nd 0.651 0.349 0.473
7 Ni 0.193 0.807 0.250
8 Ni 0.807 0.193 0.750

## Properties
Its crystal system is orthorhombic. For the polymorph energy (0 for the lowest one), the calculation gives 0.036 eV per atom. As for the formation energy from the elements: -0.14 eV/atom. The density of states at the Fermi level is 1.027 states/eV per atom.

---

First-principles (PBE) data for an optimized crystal structure of Pm2NdNi6, as listed in Alexandria via LeMat-Bulk.

Lattice parameters (Å, degrees): 6.955 6.955 3.963 90.00 90.00 120.00
Element x y z (fractional)
1 Pm 0.333 0.667 0.000
2 Pm 0.667 0.333 0.000
3 Nd 0.000 0.000 0.000
4 Ni 0.000 0.334 0.500
5 Ni 0.000 0.666 0.500
6 Ni 0.334 0.000 0.500
7 Ni 0.334 0.334 0.500
8 Ni 0.666 0.000 0.500
9 Ni 0.666 0.666 0.500

## Properties
Its crystal system is hexagonal. As for the formation energy from the elements: -0.33 eV/atom. The density of states at the Fermi level is 1.124 states/eV per atom.

---

First-principles (PBE) data for an optimized crystal structure of Pm6Nd2Ni, as listed in Alexandria via LeMat-Bulk.

Lattice parameters (Å, degrees): 9.936 9.936 3.668 90.05 90.05 56.73
Element x y z (fractional)
1 Pm 0.002 0.334 0.500
2 Pm 0.216 0.784 0.000
3 Pm 0.334 0.002 0.500
4 Pm 0.666 0.998 0.500
5 Pm 0.784 0.216 0.000
6 Pm 0.998 0.666 0.500
7 Nd 0.333 0.333 0.001
8 Nd 0.667 0.667 0.999
9 Ni 0.000 0.000 0.500

## Properties
Its crystal system is monoclinic. As for the formation energy from the elements: 0.13 eV/atom. The density of states at the Fermi level is 1.397 states/eV per atom.

---

First-principles (PBE) data for an optimized crystal structure of Pm3Nd4Ni2, as listed in Alexandria via LeMat-Bulk.

Lattice parameters (Å, degrees): 8.716 8.716 9.225 113.26 113.26 24.82
Element x y z (fractional)
1 Pm 0.000 0.000 0.000
2 Pm 0.071 0.071 0.689
3 Pm 0.929 0.929 0.311
4 Nd 0.229 0.229 0.153
5 Nd 0.366 0.366 0.611
6 Nd 0.634 0.634 0.389
7 Nd 0.771 0.771 0.847
8 Ni 0.384 0.384 0.059
9 Ni 0.616 0.616 0.941

## Properties
Its crystal system is monoclinic. As for the formation energy from the elements: -0.11 eV/atom. The density of states at the Fermi level is 1.328 states/eV per atom.

---

What is the formula in the sixth record? Pm2NdNi6

---

What is the formula in the third record? NdThNiPd

---

The highest formation energy from the elements belongs to which entry? Pm6Nd2Ni

---

Number 5 is which compound? PmNd2Ni